Entry 1:
Material: KPmCuS2
Method: DFT, PBE
State: optimized geometry

The calculated total energy comes out at -4.730 eV/atom. The formation energy without anion corrections comes out at -5.5 eV per formula unit. For the density of states at the Fermi level, the calculation gives 5.7 states/eV/cell. The calculated density comes out at 3.8 g cm⁻³.

It has space group P2/c (No. 13), with a = 7.455 Å, b = 4.664 Å, c = 8.054 Å, α = 90.00°, β = 100.78° and γ = 90.00°. The asymmetric unit holds K at (0.000, 0.176, 0.250), Pm at (0.500, 0.491, 0.750), Cu at (0.500, 0.000, 0.000) and S at (0.266, 0.303, 0.963).

***

Entry 2:
Material: Ta2NbAlH
Method: DFT, PBE
State: optimized geometry

The calculated total energy comes out at -8.318 eV/atom. For the density of states at the Fermi level, the calculation gives 3.4 states/eV/cell. For the energy above the most stable polymorph in this dataset, the calculation gives 0.000 eV per atom. The calculated density comes out at 11.0 g cm⁻³.

It has space group P4/mmm (No. 123), with a = 4.060 Å, b = 4.060 Å, c = 4.413 Å, α = 90.00°, β = 90.00° and γ = 90.00°. The asymmetric unit holds Ta at (0.000, 0.500, 0.000), Nb at (0.000, 0.000, 0.500), Al at (0.500, 0.500, 0.500) and H at (0.000, 0.000, 0.000).

***

Copy entry 2 word for word.
Material: Ta2NbAlH
Method: DFT, PBE
State: optimized geometry

The calculated total energy comes out at -8.318 eV/atom. For the density of states at the Fermi level, the calculation gives 3.4 states/eV/cell. For the energy above the most stable polymorph in this dataset, the calculation gives 0.000 eV per atom. The calculated density comes out at 11.0 g cm⁻³.

It has space group P4/mmm (No. 123), with a = 4.060 Å, b = 4.060 Å, c = 4.413 Å, α = 90.00°, β = 90.00° and γ = 90.00°. The asymmetric unit holds Ta at (0.000, 0.500, 0.000), Nb at (0.000, 0.000, 0.500), Al at (0.500, 0.500, 0.500) and H at (0.000, 0.000, 0.000).

***

Q: Among the records above, which one has the lowest calculated total energy?
A: Ta2NbAlH